(1)
4
Lattice="7.443 0.015 -0.014 3.998 6.278 0.014 -4.826 -4.773 3.054" Properties=species:S:1:pos:R:3 comment="GGA-PBE KLa2Zr, optimized geometry" n_ef_per_ev_cell=6.0 e_above_lowest_polymorph_mev_per_atom=276 final_energy_ry_per_atom=-0.31876 e_form_kcal_per_mol_atoms=12.412 rho_g_cm3=4.743 magmom_total_mub_per_cell=0.002 sg="No. 44" pbc="T T T"
K 2.721 2.477 1.534
La 11.302 6.216 0.000
La 3.793 -1.013 1.520
Zr 5.962 3.279 0.000

=====

(2)
4
Lattice="3.640 0.000 0.000 0.000 6.151 0.000 0.000 0.000 6.151" Properties=species:S:1:pos:R:3 comment="GGA-PBE KLa2Zr, optimized geometry" n_ef_per_ev_cell=5.4 e_above_lowest_polymorph_mev_per_atom=317 final_energy_ry_per_atom=-0.31578 e_form_kcal_per_mol_atoms=13.347 rho_g_cm3=4.922 magmom_total_mub_per_cell=0.007 sg="No. 123" pbc="T T T"
K 1.820 0.000 3.075
La 0.000 0.000 0.000
La 0.000 3.075 3.075
Zr 1.820 3.075 0.000

=====

(3)
4
Lattice="5.599 -0.012 0.000 4.579 3.222 0.000 0.572 0.180 8.192" Properties=species:S:1:pos:R:3 comment="GGA-PBE KLa2Zr, optimized geometry" n_ef_per_ev_cell=5.1 e_above_lowest_polymorph_mev_per_atom=183 final_energy_ry_per_atom=-0.32560 e_form_kcal_per_mol_atoms=10.263 rho_g_cm3=4.572 magmom_total_mub_per_cell=0.000 sg="No. 12" pbc="T T T"
K 2.687 0.847 2.048
La 0.680 0.214 7.661
La 5.267 1.661 4.627
Zr 8.062 2.542 6.143

=====

(4)
4
Lattice="-1.407 5.784 -2.639 -4.498 -0.275 -4.699 0.396 -2.272 6.089" Properties=species:S:1:pos:R:3 comment="GGA-PBE KLa2Zr, optimized geometry" n_ef_per_ev_cell=7.0 e_above_lowest_polymorph_mev_per_atom=408 final_energy_ry_per_atom=-0.30910 e_form_kcal_per_mol_atoms=15.443 rho_g_cm3=4.919 magmom_total_mub_per_cell=0.002 sg="No. 119" pbc="T T T"
K -1.982 3.133 -0.110
La 0.000 0.000 0.000
La -3.528 0.103 -1.140
Zr -2.953 2.754 -3.669

=====

(5)
4
Lattice="0.000 4.116 4.116 4.116 0.000 4.116 4.116 4.116 0.000" Properties=species:S:1:pos:R:3 comment="GGA-PBE KLa2Zr, optimized geometry" n_ef_per_ev_cell=6.8 e_above_lowest_polymorph_mev_per_atom=357 final_energy_ry_per_atom=-0.31282 e_form_kcal_per_mol_atoms=14.273 rho_g_cm3=4.861 magmom_total_mub_per_cell=2.513 sg="No. 225" pbc="T T T"
K 0.000 0.000 0.000
Zr 4.116 4.116 4.116
La 2.058 2.058 2.058
La 6.174 6.174 6.174

=====

(6)
4
Lattice="-1.628 -3.198 0.131 1.807 -0.797 2.999 -9.562 5.158 7.131" Properties=species:S:1:pos:R:3 comment="GGA-PBE K2LaZr, optimized geometry" n_ef_per_ev_cell=3.2 e_above_lowest_polymorph_mev_per_atom=0 final_energy_ry_per_atom=-0.25863 e_form_kcal_per_mol_atoms=9.197 rho_g_cm3=3.055 magmom_total_mub_per_cell=0.000 sg="No. 99" pbc="T T T"
K -9.149 4.936 6.823
K -2.534 -0.582 3.522
La -5.260 2.837 3.922
Zr -6.784 1.710 6.691

=====

(7)
4
Lattice="-9.910 -7.190 7.738 -8.840 -9.898 5.803 -7.142 -9.072 8.745" Properties=species:S:1:pos:R:3 comment="GGA-PBE K2LaZr, optimized geometry" n_ef_per_ev_cell=4.3 e_above_lowest_polymorph_mev_per_atom=314 final_energy_ry_per_atom=-0.23554 e_form_kcal_per_mol_atoms=16.441 rho_g_cm3=3.373 magmom_total_mub_per_cell=1.325 sg="No. 166" pbc="T T T"
K -0.129 -0.130 0.111
K -12.817 -12.950 11.032
La -6.473 -6.540 5.571
Zr -19.419 -19.620 16.714

=====

(8)
4
Lattice="-3.626 6.061 -0.044 -3.818 -2.296 -1.659 -1.438 -0.828 4.455" Properties=species:S:1:pos:R:3 comment="GGA-PBE K2LaZr, optimized geometry" n_ef_per_ev_cell=6.3 e_above_lowest_polymorph_mev_per_atom=414 final_energy_ry_per_atom=-0.22817 e_form_kcal_per_mol_atoms=18.754 rho_g_cm3=3.208 magmom_total_mub_per_cell=1.135 sg="No. 123" pbc="T T T"
K 0.000 0.000 0.000
K -2.628 -1.562 1.398
La -3.722 1.882 -0.851
Zr -2.532 2.617 2.205

=====

(9)
4
Lattice="-2.583 -4.358 2.010 0.093 -3.680 4.018 -5.897 5.674 5.942" Properties=species:S:1:pos:R:3 comment="GGA-PBE K2LaZr, optimized geometry" n_ef_per_ev_cell=5.8 e_above_lowest_polymorph_mev_per_atom=236 final_energy_ry_per_atom=-0.24127 e_form_kcal_per_mol_atoms=14.645 rho_g_cm3=2.869 magmom_total_mub_per_cell=0.000 sg="No. 8" pbc="T T T"
K -5.608 5.312 5.679
K -2.372 -0.283 3.256
La -4.594 -0.666 6.345
Zr -5.903 -2.235 8.618

=====

(10)
4
Lattice="-2.903 1.910 -0.534 -1.048 -0.673 3.288 5.700 9.733 3.809" Properties=species:S:1:pos:R:3 comment="GGA-PBE KLa2Zr, optimized geometry" n_ef_per_ev_cell=4.3 e_above_lowest_polymorph_mev_per_atom=135 final_energy_ry_per_atom=-0.32916 e_form_kcal_per_mol_atoms=9.148 rho_g_cm3=4.605 magmom_total_mub_per_cell=0.000 sg="No. 99" pbc="T T T"
K 2.181 7.716 4.154
La 0.252 0.430 0.168
La -0.435 3.248 2.406
Zr 2.601 4.441 1.738

=====

(11)
4
Lattice="7.353 -0.005 -0.013 3.480 6.477 0.013 -4.290 -5.121 3.071" Properties=species:S:1:pos:R:3 comment="GGA-PBE KLa2Zr, optimized geometry" n_ef_per_ev_cell=5.7 e_above_lowest_polymorph_mev_per_atom=302 final_energy_ry_per_atom=-0.31688 e_form_kcal_per_mol_atoms=13.000 rho_g_cm3=4.621 magmom_total_mub_per_cell=0.001 sg="No. 71" pbc="T T T"
K 2.303 2.296 1.542
La 10.438 6.236 0.000
La 5.812 3.472 0.000
Zr 4.240 -0.945 1.529

=====

(12)
4
Lattice="5.895 -0.046 -0.049 4.948 3.203 -0.049 0.558 0.163 8.132" Properties=species:S:1:pos:R:3 comment="GGA-PBE KLa2Zr, optimized geometry" n_ef_per_ev_cell=6.4 e_above_lowest_polymorph_mev_per_atom=237 final_energy_ry_per_atom=-0.32163 e_form_kcal_per_mol_atoms=11.511 rho_g_cm3=4.358 magmom_total_mub_per_cell=0.000 sg="No. 8" pbc="T T T"
K 2.817 0.820 2.119
La 0.610 0.177 7.605
La 8.593 2.502 5.722
Zr 5.641 1.642 4.737